[1]
MnNiPt2: optimized geometry, PBE.

It has space group R3m (No. 160, hexagonal axes), with a = 2.7647 Å, b = 2.7647 Å, c = 25.6595 Å, α = 90.00°, β = 90.00° and γ = 120.00°. Symmetry generates all atoms from Mn at (0.0000, 0.0000, 0.0000), Ni at (0.0000, 0.0000, 0.7394), Pt at (0.0000, 0.0000, 0.2506) and Pt at (0.0000, 0.0000, 0.4891).

[2]
MnNi4Pt5: optimized geometry, PBE.

It has space group Pmmm (No. 47), with a = 2.7362 Å, b = 3.6548 Å, c = 13.7043 Å, α = 90.00°, β = 90.00° and γ = 90.00°. Symmetry generates all atoms from Mn at (0.0000, 0.0000, 0.0000), Ni at (0.0000, 0.0000, 0.2055), Ni at (0.0000, 0.0000, 0.4012), Pt at (0.5000, 0.5000, 0.1034), Pt at (0.5000, 0.5000, 0.3018) and Pt at (0.5000, 0.5000, 0.5000).

Number 1: energy relative to the elements -2.4 kcal/mol of atoms, total magnetization 4.1 μB per formula unit, final energy -6.86 eV/atom. Number 2: energy relative to the elements -3.7 kcal/mol of atoms, total magnetization 8.0 μB per formula unit, final energy -6.41 eV/atom.